Entry 1:
Compound: Na3TcCl6
Source: the Alexandria database
Functional: GGA-PBE
Structure: relaxed Values from VASP.

Properties
The value obtained for the excess energy over the best structure of this formula in the dataset is 7.9 kJ/mol of formula units. The value obtained for the size of the total moment is 4.0 Bohr magnetons per cell. The formation energy from raw total energies is -1.292 eV per atom. The total energy comes out at -3.832 eV per atom. Its density of states at the Fermi level is 0.641 states/eV/atom. Its calculated volume is 23.54 A^3/atom.

```
&SYSTEM
  ibrav = 0, nat = 20, ntyp = 3
/
ATOMIC_SPECIES
Na 22.99 Na.upf
Tc 98.00 Tc.upf
Cl 35.45 Cl.upf
CELL_PARAMETERS angstrom
6.7142 0.0000 0.0000
0.0000 7.1021 0.0000
-6.6954 0.0000 9.8737
ATOMIC_POSITIONS crystal
Na 0.0000 0.0000 0.0000
Na 0.0000 0.5000 0.5000
Na 0.2133 0.0862 0.7461
Na 0.2133 0.4138 0.2461
Na 0.7867 0.5862 0.7539
Na 0.7867 0.9138 0.2539
Tc 0.5000 0.0000 0.5000
Tc 0.5000 0.5000 0.0000
Cl 0.1422 0.1769 0.4352
Cl 0.1422 0.3231 0.9352
Cl 0.2669 0.7129 0.4295
Cl 0.2669 0.7871 0.9295
Cl 0.4066 0.0461 0.2740
Cl 0.4066 0.4539 0.7740
Cl 0.5934 0.5461 0.2260
Cl 0.5934 0.9539 0.7260
Cl 0.7331 0.2129 0.0705
Cl 0.7331 0.2871 0.5705
Cl 0.8578 0.6769 0.0648
Cl 0.8578 0.8231 0.5648
```

***

Entry 2:
Compound: NaTc2Cl
Source: the Alexandria database
Functional: GGA-PBE
Structure: relaxed Values from VASP.

Properties
The value obtained for the excess energy over the best structure of this formula in the dataset is 0.0 kJ/mol of formula units. The value obtained for the size of the total moment is 0.0 Bohr magnetons per cell. The formation energy from raw total energies is 1.002 eV per atom. The total energy comes out at -4.972 eV per atom. Its density of states at the Fermi level is 1.124 states/eV/atom. Its calculated volume is 17.87 A^3/atom.

```
&SYSTEM
  ibrav = 0, nat = 8, ntyp = 3
/
ATOMIC_SPECIES
Na 22.99 Na.upf
Tc 98.00 Tc.upf
Cl 35.45 Cl.upf
CELL_PARAMETERS angstrom
-3.9223 3.9223 2.3232
3.9223 -3.9223 2.3232
3.9223 3.9223 -2.3232
ATOMIC_POSITIONS crystal
Na 0.0000 0.0000 0.0000
Na 0.7500 0.2500 0.5000
Tc 0.1944 0.1250 0.5694
Tc 0.3750 0.8056 0.9306
Tc 0.5556 0.6250 0.4306
Tc 0.8750 0.4444 0.0694
Cl 0.2500 0.7500 0.5000
Cl 0.5000 0.5000 0.0000
```

***

Entry 3:
Compound: NaTcCl4
Source: the Alexandria database
Functional: GGA-PBE
Structure: relaxed Values from VASP.

Properties
The value obtained for the excess energy over the best structure of this formula in the dataset is 102.9 kJ/mol of formula units. The value obtained for the size of the total moment is 4.0 Bohr magnetons per cell. The formation energy from raw total energies is -0.867 eV per atom. The total energy comes out at -4.046 eV per atom. Its calculated volume is 32.64 A^3/atom.

```
&SYSTEM
  ibrav = 0, nat = 6, ntyp = 3
/
ATOMIC_SPECIES
Na 22.99 Na.upf
Tc 98.00 Tc.upf
Cl 35.45 Cl.upf
CELL_PARAMETERS angstrom
-3.5812 3.5812 3.8175
3.5812 -3.5812 3.8175
3.5812 3.5812 -3.8175
ATOMIC_POSITIONS crystal
Na 0.0000 0.0000 0.0000
Tc 0.2500 0.7500 0.5000
Cl 0.0521 0.0068 0.4600
Cl 0.4080 0.9479 0.9547
Cl 0.5467 0.5920 0.5400
Cl 0.9932 0.4533 0.0453
```

***

Entry 4:
Compound: NaTc2Cl8
Source: the Alexandria database
Functional: GGA-PBE
Structure: relaxed Values from VASP.

Properties
The value obtained for the excess energy over the best structure of this formula in the dataset is 0.0 kJ/mol of formula units. The value obtained for the size of the total moment is 7.0 Bohr magnetons per cell. The formation energy from raw total energies is -0.738 eV per atom. The total energy comes out at -4.086 eV per atom. Its density of states at the Fermi level is 0.095 states/eV/atom. Its calculated volume is 30.62 A^3/atom.

```
&SYSTEM
  ibrav = 0, nat = 11, ntyp = 3
/
ATOMIC_SPECIES
Na 22.99 Na.upf
Tc 98.00 Tc.upf
Cl 35.45 Cl.upf
CELL_PARAMETERS angstrom
5.2350 0.0000 0.0000
0.0819 8.4561 0.0000
0.0668 4.2072 7.6088
ATOMIC_POSITIONS crystal
Na 0.0000 0.0000 0.0000
Tc 0.2496 0.4054 0.1870
Tc 0.7504 0.5946 0.8130
Cl 0.2462 0.5747 0.8525
Cl 0.2487 0.2553 0.4836
Cl 0.2597 0.6822 0.1869
Cl 0.2684 0.1315 0.1810
Cl 0.7316 0.8685 0.8190
Cl 0.7403 0.3178 0.8131
Cl 0.7513 0.7447 0.5164
Cl 0.7538 0.4253 0.1475
```

***

Entry 5:
Compound: Na3TcCl6
Source: the Alexandria database
Functional: GGA-PBE
Structure: relaxed Values from VASP.

Properties
The value obtained for the excess energy over the best structure of this formula in the dataset is 0.0 kJ/mol of formula units. The value obtained for the size of the total moment is 0.0 Bohr magnetons per cell. The formation energy from raw total energies is -1.300 eV per atom. The total energy comes out at -3.841 eV per atom. Its density of states at the Fermi level is 0.716 states/eV/atom. Its calculated volume is 25.43 A^3/atom.

```
&SYSTEM
  ibrav = 0, nat = 20, ntyp = 3
/
ATOMIC_SPECIES
Na 22.99 Na.upf
Tc 98.00 Tc.upf
Cl 35.45 Cl.upf
CELL_PARAMETERS angstrom
5.6875 3.2837 4.5385
-5.6875 3.2837 4.5385
0.0000 -6.5674 4.5385
ATOMIC_POSITIONS crystal
Na 0.0708 0.5843 0.7469
Na 0.2531 0.9292 0.4157
Na 0.4157 0.2531 0.9292
Na 0.5843 0.7469 0.0708
Na 0.7469 0.0708 0.5843
Na 0.9292 0.4157 0.2531
Tc 0.0000 0.0000 0.0000
Tc 0.5000 0.5000 0.5000
Cl 0.0478 0.9312 0.7083
Cl 0.0688 0.2917 0.9522
Cl 0.2138 0.5656 0.4219
Cl 0.2917 0.9522 0.0688
Cl 0.4219 0.2138 0.5656
Cl 0.4344 0.5781 0.7862
Cl 0.5656 0.4219 0.2138
Cl 0.5781 0.7862 0.4344
Cl 0.7083 0.0478 0.9312
Cl 0.7862 0.4344 0.5781
Cl 0.9312 0.7083 0.0478
Cl 0.9522 0.0688 0.2917
```

***

Entry 6:
Compound: Na2Tc2Cl
Source: the Alexandria database
Functional: GGA-PBE
Structure: relaxed Values from VASP.

Properties
The value obtained for the excess energy over the best structure of this formula in the dataset is 0.0 kJ/mol of formula units. The value obtained for the size of the total moment is 0.0 Bohr magnetons per cell. The formation energy from raw total energies is 0.716 eV per atom. The total energy comes out at -4.327 eV per atom. Its density of states at the Fermi level is 0.776 states/eV/atom. Its calculated volume is 22.79 A^3/atom.

```
&SYSTEM
  ibrav = 0, nat = 10, ntyp = 3
/
ATOMIC_SPECIES
Na 22.99 Na.upf
Tc 98.00 Tc.upf
Cl 35.45 Cl.upf
CELL_PARAMETERS angstrom
8.5789 0.0000 0.0000
0.0000 8.5789 0.0000
0.0000 0.0000 3.0971
ATOMIC_POSITIONS crystal
Na 0.2032 0.2968 0.0000
Na 0.2968 0.7968 0.0000
Na 0.7032 0.2032 0.0000
Na 0.7968 0.7032 0.0000
Tc 0.0849 0.5849 0.5000
Tc 0.4151 0.0849 0.5000
Tc 0.5849 0.9151 0.5000
Tc 0.9151 0.4151 0.5000
Cl 0.0000 0.0000 0.5000
Cl 0.5000 0.5000 0.5000
```

***

Entry 7:
Compound: NaTc2Cl
Source: the Alexandria database
Functional: GGA-PBE
Structure: relaxed Values from VASP.

Properties
The value obtained for the excess energy over the best structure of this formula in the dataset is 218.5 kJ/mol of formula units. The value obtained for the size of the total moment is 0.0 Bohr magnetons per cell. The formation energy from raw total energies is 1.568 eV per atom. The total energy comes out at -4.406 eV per atom. Its density of states at the Fermi level is 1.220 states/eV/atom. Its calculated volume is 15.39 A^3/atom.

```
&SYSTEM
  ibrav = 0, nat = 4, ntyp = 3
/
ATOMIC_SPECIES
Na 22.99 Na.upf
Tc 98.00 Tc.upf
Cl 35.45 Cl.upf
CELL_PARAMETERS angstrom
0.0000 3.1340 3.1340
3.1340 0.0000 3.1340
3.1340 3.1340 0.0000
ATOMIC_POSITIONS crystal
Na 0.0000 0.0000 0.0000
Tc 0.2500 0.2500 0.2500
Tc 0.7500 0.7500 0.7500
Cl 0.5000 0.5000 0.5000
```

***

Entry 8:
Compound: Na2Tc2Cl
Source: the Alexandria database
Functional: GGA-PBE
Structure: relaxed Values from VASP.

Properties
The value obtained for the excess energy over the best structure of this formula in the dataset is 80.8 kJ/mol of formula units. The value obtained for the size of the total moment is 2.5 Bohr magnetons per cell. The formation energy from raw total energies is 0.883 eV per atom. The total energy comes out at -4.160 eV per atom. Its density of states at the Fermi level is 0.623 states/eV/atom. Its calculated volume is 27.15 A^3/atom.

```
&SYSTEM
  ibrav = 0, nat = 5, ntyp = 3
/
ATOMIC_SPECIES
Na 22.99 Na.upf
Tc 98.00 Tc.upf
Cl 35.45 Cl.upf
CELL_PARAMETERS angstrom
-3.0490 3.0490 3.6500
3.0490 -3.0490 3.6500
3.0490 3.0490 -3.6500
ATOMIC_POSITIONS crystal
Na 0.2500 0.7500 0.5000
Na 0.7500 0.2500 0.5000
Tc 0.1430 0.1430 0.0000
Tc 0.8570 0.8570 0.0000
Cl 0.5000 0.5000 0.0000
```

***

Entry 9:
Compound: NaTcTeCl2
Source: the Alexandria database
Functional: GGA-PBE
Structure: relaxed Values from VASP.

Properties
The value obtained for the size of the total moment is 5.1 Bohr magnetons per cell. The formation energy from raw total energies is 0.743 eV per atom. The total energy comes out at -2.961 eV per atom. Its density of states at the Fermi level is 1.773 states/eV/atom. Its calculated volume is 36.13 A^3/atom.

```
&SYSTEM
  ibrav = 0, nat = 5, ntyp = 4
/
ATOMIC_SPECIES
Na 22.99 Na.upf
Tc 98.00 Tc.upf
Te 127.60 Te.upf
Cl 35.45 Cl.upf
CELL_PARAMETERS angstrom
5.5348 0.0000 0.0000
0.0000 5.5348 0.0000
0.0000 0.0000 5.8964
ATOMIC_POSITIONS crystal
Na 0.0000 0.0000 0.0000
Tc 0.5000 0.5000 0.0000
Te 0.0000 0.0000 0.5000
Cl 0.0000 0.5000 0.5000
Cl 0.5000 0.0000 0.5000
```